TcIr2Rh GGA-PBEsol optimized geometry; formation enthalpy at 0 K = -0.089 eV/atom; relative energy among the computed polymorphs = 0.217 eV per formula unit
1.0
2.686 0.000 0.000
0.000 2.686 0.000
0.000 0.000 7.676
Tc Ir Rh
1 2 1
direct
0.000 0.000 0.000
0.000 0.000 0.501
0.500 0.500 0.248
0.500 0.500 0.753

=====

BePtOF2 GGA-PBEsol optimized geometry; relative energy among the computed polymorphs = 6.084 eV per formula unit
1.0
4.289 0.000 0.000
0.000 4.289 0.000
0.000 0.000 3.785
Be Pt O F
1 1 1 2
direct
0.000 0.000 0.000
0.500 0.500 0.500
0.500 0.500 0.000
0.000 0.500 0.500
0.500 0.000 0.500

=====

Mg2Ir GGA-PBEsol optimized geometry; formation enthalpy at 0 K = -0.074 eV/atom
1.0
2.929 0.000 0.000
-1.464 2.536 0.000
0.000 0.000 6.852
Mg Ir
2 1
direct
0.333 0.667 0.198
0.667 0.333 0.802
0.000 0.000 0.500

=====

NaGaNO2 GGA-PBEsol optimized geometry; energy = -5.031 eV per atom
1.0
3.880 0.000 0.000
0.000 3.880 0.000
0.000 0.000 3.967
Na Ga N O
1 1 1 2
direct
0.000 0.000 0.000
0.500 0.500 0.500
0.500 0.500 0.000
0.000 0.500 0.500
0.500 0.000 0.500

=====

K2Be2PbF8 GGA-PBEsol optimized geometry; energy = -5.257 eV per atom
1.0
2.701 1.559 6.803
-2.701 1.559 6.803
0.000 -3.119 6.803
K Be Pb F
2 2 1 8
direct
0.203 0.203 0.203
0.797 0.797 0.797
0.402 0.402 0.402
0.598 0.598 0.598
0.000 0.000 0.000
0.257 0.729 0.729
0.271 0.271 0.743
0.271 0.743 0.271
0.327 0.327 0.327
0.673 0.673 0.673
0.729 0.257 0.729
0.729 0.729 0.257
0.743 0.271 0.271

=====

Cs2KLuCl6 GGA-PBEsol optimized geometry; energy = -4.147 eV per atom
1.0
0.000 5.482 5.482
5.482 0.000 5.482
5.482 5.482 0.000
Cs K Lu Cl
2 1 1 6
direct
0.250 0.250 0.250
0.750 0.750 0.750
0.000 0.000 0.000
0.500 0.500 0.500
0.268 0.268 0.732
0.268 0.732 0.268
0.268 0.732 0.732
0.732 0.268 0.268
0.732 0.268 0.732
0.732 0.732 0.268